BeInPb2 (PBE, optimized geometry); SG = P4mm (99); E_form = 0.364 eV/atom; crystal system = tetragonal; energy above the lowest structure with this stoichiometry = 0.099 eV per formula unit; calculated total energy = -3.106 eV/atom
1.0
-0.770 1.060 -3.129
1.293 -2.860 -1.287
-7.717 -3.770 0.622
Pb Be In
2 1 1
direct
0.000 0.000 0.983
0.500 0.500 0.305
0.000 0.000 0.522
0.500 0.500 0.690